P.
A plane-wave DFT calculation with GGA-PBEsol was carried out for a relaxed CdTc2As crystal.

Computed properties:
- spin magnetization (μB/cell) = 0.00
- symmetry = Imm2, No. 44
- volume (Å³/atom) = 15.60

a = 3.047 Å, b = 4.322 Å, c = 5.425 Å
α = 113.47°, β = 106.31°, γ = 90.00°
Fractional positions:
As: 0.474 0.474 0.948
Tc: 0.022 0.022 0.044
Tc: 0.769 0.269 0.538
Cd: 0.235 0.735 0.470

***

Q.
A plane-wave DFT calculation with GGA-PBEsol was carried out for a relaxed CdTc2As crystal.

Computed properties:
- spin magnetization (μB/cell) = 0.00
- symmetry = P2/m, No. 10
- volume (Å³/atom) = 15.71

a = 2.940 Å, b = 3.824 Å, c = 5.717 Å
α = 90.00°, β = 102.11°, γ = 90.00°
Fractional positions:
As: 0.500 0.500 0.000
Tc: 0.139 0.000 0.783
Tc: 0.861 0.000 0.217
Cd: 0.500 0.500 0.500

***

R.
A plane-wave DFT calculation with GGA-PBEsol was carried out for a relaxed CdTc2As crystal.

Computed properties:
- spin magnetization (μB/cell) = 0.00
- symmetry = R3m, No. 160
- volume (Å³/atom) = 16.19

a = 2.857 Å, b = 2.857 Å, c = 9.309 Å
α = 81.17°, β = 81.17°, γ = 60.00°
Fractional positions:
As: 0.488 0.488 0.536
Tc: 0.009 0.009 0.973
Tc: 0.748 0.748 0.756
Cd: 0.255 0.255 0.236

***

Most stable structure, least stable structure: R, P.

***

P.
A plane-wave DFT calculation with GGA-PBEsol was carried out for a relaxed CdTc2As crystal.

Computed properties:
- spin magnetization (μB/cell) = 0.00
- symmetry = I-4m2, No. 119
- volume (Å³/atom) = 15.41

a = 3.941 Å, b = 3.941 Å, c = 4.849 Å
α = 113.97°, β = 113.97°, γ = 90.00°
Fractional positions:
As: 0.500 0.500 0.000
Tc: 0.000 0.000 0.000
Tc: 0.750 0.250 0.500
Cd: 0.250 0.750 0.500

***

Q.
A plane-wave DFT calculation with GGA-PBEsol was carried out for a relaxed CdTc2As crystal.

Computed properties:
- spin magnetization (μB/cell) = 0.00
- symmetry = C2/m, No. 12
- volume (Å³/atom) = 15.92

a = 2.994 Å, b = 4.420 Å, c = 5.272 Å
α = 103.24°, β = 90.00°, γ = 109.80°
Fractional positions:
As: 0.000 0.000 0.500
Tc: 0.731 0.462 0.704
Tc: 0.269 0.538 0.296
Cd: 0.500 0.000 0.000

***

Most stable structure, least stable structure: Q, P.

***

P.
A plane-wave DFT calculation with GGA-PBEsol was carried out for a relaxed Cd2TeAs crystal.

Computed properties:
- spin magnetization (μB/cell) = 0.00
- symmetry = Immm, No. 71
- volume (Å³/atom) = 23.57

a = 4.097 Å, b = 5.586 Å, c = 5.383 Å
α = 121.26°, β = 112.37°, γ = 90.00°
Fractional positions:
As: 0.000 0.500 0.000
Te: 0.500 0.000 0.000
Cd: 0.731 0.731 0.463
Cd: 0.269 0.269 0.537

***

Q.
A plane-wave DFT calculation with GGA-PBEsol was carried out for a relaxed Cd2TeAs crystal.

Computed properties:
- spin magnetization (μB/cell) = 0.00
- symmetry = Fm-3m, No. 225
- volume (Å³/atom) = 22.71

a = 5.046 Å, b = 5.046 Å, c = 5.046 Å
α = 60.00°, β = 60.00°, γ = 60.00°
Fractional positions:
As: 0.000 0.000 0.000
Te: 0.500 0.500 0.500
Cd: 0.750 0.750 0.750
Cd: 0.250 0.250 0.250

***

R.
A plane-wave DFT calculation with GGA-PBEsol was carried out for a relaxed Cd2TeAs crystal.

Computed properties:
- spin magnetization (μB/cell) = 0.00
- symmetry = C2/m, No. 12
- volume (Å³/atom) = 24.16

a = 4.438 Å, b = 5.039 Å, c = 5.039 Å
α = 108.59°, β = 104.39°, γ = 104.39°
Fractional positions:
As: 0.500 0.500 0.500
Te: 0.500 0.000 0.000
Cd: 0.000 0.500 0.000
Cd: 0.000 0.000 0.500

***

S.
A plane-wave DFT calculation with GGA-PBEsol was carried out for a relaxed Cd2TeAs crystal.

Computed properties:
- spin magnetization (μB/cell) = 0.00
- symmetry = I-4m2, No. 119
- volume (Å³/atom) = 23.96

a = 4.055 Å, b = 4.055 Å, c = 6.495 Å
α = 108.19°, β = 108.19°, γ = 90.00°
Fractional positions:
As: 0.250 0.750 0.500
Te: 0.500 0.500 0.000
Cd: 0.000 0.000 0.000
Cd: 0.750 0.250 0.500

***

Most stable structure, least stable structure: R, Q.